Entry 1:
First-principles (PBE-GGA) data for an optimized crystal structure of NaH6N2F2, as listed in Alexandria via LeMat-Bulk.

Cell: 3.7032 5.3188 6.4902 Å, 98.79 106.51 110.35°
Closest atoms and distances in Å follow each position.
Space group P-1 (No. 2)
One atom of each set of equivalent atoms:
Na1 0.0000 0.0000 0.0000 x1  4 F 2.34
H1 0.1989 0.2939 0.6534 x2  1 N 1.03
H2 0.2218 0.8490 0.5949 x2  1 N 1.04
H3 0.2510 0.7062 0.3461 x2  1 N 1.03
N1 0.0696 0.6973 0.4421 x2  3 H 1.03-1.04
F1 0.4878 0.1445 0.8305 x2  3 H 1.76-1.81

Entry 2:
First-principles (PBE-GGA) data for an optimized crystal structure of NaH6N2F, as listed in Alexandria via LeMat-Bulk.

Output
* Fermi-level density of states: 0.000 states/eV/atom

Cell: 6.2213 10.6211 5.3775 Å, 90.00 94.29 90.00°
Closest atoms and distances in Å follow each position.
Space group C2/c (No. 15)
One atom of each set of equivalent atoms:
Na1 0.0000 0.0784 0.2500 x4  4 N 2.46-2.55, 4 H 2.52-2.55
H1 0.1513 0.3700 0.4886 x8  1 N 1.04
H2 0.1658 0.1898 0.6941 x8  1 N 1.04
H3 0.1822 0.4309 0.2122 x8  1 N 1.02
N1 0.2337 0.1069 0.6349 x8  3 H 1.02-1.04
F1 0.0000 0.3317 0.7500 x4  4 H 1.80-1.86

Entry 3:
First-principles (PBE-GGA) data for an optimized crystal structure of Na2H2NF2, as listed in Alexandria via LeMat-Bulk.

Output
* Fermi-level density of states: 0.056 states/eV/atom

Cell: 3.2831 3.3556 7.0667 Å, 89.67 89.70 89.11°
Closest atoms and distances in Å follow each position.
Space group P-1 (No. 2)
One atom of each set of equivalent atoms:
Na1 0.2420 0.2437 0.3288 x2  5 F 2.30-2.43, 1 H 2.39
H1 0.3657 0.3625 0.8864 x2  1 N 1.03
N1 0.5000 0.5000 0.0000 x1  2 H 1.03
F1 0.2446 0.2428 0.6603 x2  1 H 1.70

| no. | DFT total energy (eV/atom) | spin magnetization (μB per formula unit) | calculated volume (Å³/cell) |
| --- | --- | --- | --- |
| 1 | -4.652 | 1.0 | 110 |
| 2 | -4.748 | 0.0 | 354 |
| 3 | -4.273 | 1.0 | 78 |